No. 1
Entry from Alexandria via LeMat-Bulk: a geometry-optimized Nb6Tc2W structure (PBE).

```
9
Lattice="3.184 0.000 0.505 1.410 5.009 1.396 0.107 -0.095 9.608" Properties=species:S:1:pos:R:3 pbc="T T T"
Nb 2.920 2.752 2.166
Nb 1.781 2.162 9.344
Nb 2.210 3.852 6.639
Nb 4.165 3.354 4.604
Nb 0.536 1.560 6.906
Nb 2.491 1.062 4.871
Tc 1.250 0.521 2.407
Tc 3.451 4.393 9.103
W 0.000 0.000 0.000
```

Offset from the most stable computed form = 0 meV/atom
SG = C2/m (12)

=====

No. 2
Entry from Alexandria via LeMat-Bulk: a geometry-optimized Nb5TcW4 structure (PBE).

```
10
Lattice="3.232 0.000 0.000 0.000 3.232 0.000 0.000 0.000 16.179" Properties=species:S:1:pos:R:3 pbc="T T T"
Nb 1.616 1.616 1.584
Nb 1.616 1.616 4.830
Nb 1.616 1.616 8.089
Nb 1.616 1.616 11.349
Nb 1.616 1.616 14.595
Tc 0.000 0.000 0.000
W 0.000 0.000 3.215
W 0.000 0.000 6.465
W 0.000 0.000 9.714
W 0.000 0.000 12.964
```

SG = P4/mmm (123)

=====

Energy relative to the elements? In order: -1.50, -1.15 eV per formula unit.